Crystalline CaOsBr2 at its relaxed geometry. Source: Alexandria via LeMat-Bulk, functional GGA-PBE.

Summary:
- Calculated total energy: -3.9153 eV per atom
- Uncorrected formation energy: 22 kJ per mole of atoms
- SG: P4/mmm, No. 123
- E above lowest polymorph: 459.5 meV/atom
- Density of states at the Fermi level: 2.11 states/eV/f.u.

abc: 4.7761 4.7761 3.4764
angles: 90.00 90.00 90.00
Positions (direct):
Ca 0.5000 0.0000 0.5000
Br 0.5000 0.5000 0.0000
Br 0.0000 0.0000 0.0000
Os 0.0000 0.5000 0.5000